Record 1
Ho3Cu | GGA-PBE | optimized geometry

```
Ho3Cu
1.0
-2.6690 -0.6857 2.2990
5.0583 -3.3517 2.0716
2.6888 7.3403 5.3106
Cu Ho
2 6
direct
0.7469 0.4939 0.7500
0.2531 0.5061 0.2500
0.8653 0.7307 0.0607
0.4350 0.8700 0.7500
0.1347 0.2693 0.5607
0.5650 0.1300 0.2500
0.1347 0.2693 0.9393
0.8653 0.7307 0.4393
```

As for the space group: No. 63. For the energy above the most stable polymorph in this dataset, the calculation gives 0 meV per atom. For the electronic total energy, the calculation gives -4.559 eV per atom. As for the formation energy: -0.102 eV per atom.

=====

Record 2
Ho2Cu | GGA-PBE | optimized geometry

```
Ho2Cu
1.0
-3.4075 1.1178 0.8265
-4.0349 -3.4577 -3.7657
-2.6198 -4.8920 4.0087
Ho Cu
4 2
direct
0.8436 0.2496 0.0632
0.1564 0.7504 0.9368
0.4015 0.8106 0.3863
0.5985 0.1894 0.6137
0.8784 0.5685 0.6747
0.1216 0.4315 0.3253
```

As for the space group: No. 12. For the electronic total energy, the calculation gives -4.572 eV per atom. As for the formation energy: -0.155 eV per atom.

=====

Record 3
Ho3Cu2 | GGA-PBE | optimized geometry

```
Ho3Cu2
1.0
-3.5174 -0.5395 -2.9268
0.3913 -6.6243 4.3775
-6.2521 4.2727 6.7261
Ho Cu
9 6
direct
0.8420 0.6841 0.0615
0.5000 0.0000 0.0000
0.7726 0.5452 0.7254
0.4585 0.9171 0.6671
0.1111 0.2222 0.5852
0.5415 0.0829 0.3329
0.2274 0.4548 0.2746
0.8889 0.7778 0.4148
0.1580 0.3159 0.9385
0.7085 0.4171 0.4634
0.0464 0.0928 0.1664
0.6620 0.3239 0.1268
0.3380 0.6761 0.8732
0.9536 0.9072 0.8336
0.2915 0.5829 0.5366
```

As for the space group: No. 12. For the energy above the most stable polymorph in this dataset, the calculation gives 62 meV per atom. For the electronic total energy, the calculation gives -4.525 eV per atom. As for the formation energy: -0.140 eV per atom.

=====

Record 4
Ho3Cu | GGA-PBE | optimized geometry

```
Ho3Cu
1.0
-2.8538 2.1253 0.4106
-1.3823 -1.2938 -2.9101
-4.1114 -6.4523 4.8217
Ho Cu
3 1
direct
0.5000 0.5000 0.1337
0.5000 0.0000 0.7426
0.0000 0.5000 0.4662
0.0000 0.0000 0.9909
```

As for the space group: No. 25. For the energy above the most stable polymorph in this dataset, the calculation gives 201 meV per atom. For the electronic total energy, the calculation gives -4.358 eV per atom. As for the formation energy: 0.100 eV per atom.

=====

Record 5
Ho2Cu7 | GGA-PBE | optimized geometry

```
Ho2Cu7
1.0
-2.8335 -1.5526 -3.9607
2.2480 -1.2442 -4.4187
0.8590 -12.6175 1.0334
Cu Ho
14 4
direct
0.7218 0.7218 0.8345
0.3892 0.3892 0.3295
0.1078 0.6108 0.6705
0.6108 0.1078 0.6705
0.5000 0.0000 0.0000
0.6108 0.6108 0.6705
0.5000 0.5000 0.5000
0.0000 0.5000 0.0000
0.6117 0.6117 0.1649
0.5000 0.5000 0.0000
0.3883 0.3883 0.8351
0.8922 0.3892 0.3295
0.3892 0.8922 0.3295
0.2782 0.2782 0.1655
0.0504 0.0504 0.8488
0.9496 0.9496 0.1512
0.8525 0.8525 0.4426
0.1475 0.1475 0.5574
```

As for the space group: No. 166. For the electronic total energy, the calculation gives -4.405 eV per atom. As for the formation energy: -0.202 eV per atom.

=====

Record 6
Ho4Cu | GGA-PBE | optimized geometry

```
Ho4Cu
1.0
7.3951 -0.4243 0.0000
-3.2412 6.6605 0.0000
-2.0769 -3.1181 5.8975
Ho Cu
8 2
direct
0.2701 0.5361 0.3381
0.1324 0.4832 0.7609
0.7861 0.0201 0.8381
0.6215 0.4723 0.7391
0.1820 0.9480 0.1619
0.7332 0.8824 0.2609
0.7223 0.3715 0.2391
0.1980 0.9320 0.6619
0.5792 0.0792 0.5000
0.3292 0.3292 0.0000
```

As for the space group: No. 43. For the energy above the most stable polymorph in this dataset, the calculation gives 0 meV per atom. For the electronic total energy, the calculation gives -4.463 eV per atom. As for the formation energy: 0.019 eV per atom.

=====

Record 7
Ho5Cu3 | GGA-PBE | optimized geometry

```
Ho5Cu3
1.0
3.4468 0.0000 0.0000
0.0000 3.4468 0.0000
0.0000 0.0000 15.7185
Ho Cu
5 3
direct
0.0000 0.0000 0.0000
0.0000 0.0000 0.2190
0.5000 0.5000 0.3905
0.0000 0.0000 0.7810
0.5000 0.5000 0.6095
0.5000 0.5000 0.1094
0.5000 0.5000 0.8906
0.0000 0.0000 0.5000
```

As for the space group: No. 123. For the electronic total energy, the calculation gives -4.571 eV per atom. As for the formation energy: -0.174 eV per atom.

=====

Record 8
Ho4Cu | GGA-PBE | optimized geometry

```
Ho4Cu
1.0
5.3374 0.0000 0.0000
0.0000 5.3374 0.0000
0.0000 0.0000 5.3374
Ho Cu
4 1
direct
0.0000 0.5000 0.5000
0.5000 0.5000 0.0000
0.5000 0.0000 0.5000
0.0000 0.0000 0.0000
0.5000 0.5000 0.5000
```

As for the space group: No. 221. For the energy above the most stable polymorph in this dataset, the calculation gives 114 meV per atom. For the electronic total energy, the calculation gives -4.349 eV per atom. As for the formation energy: 0.133 eV per atom.

=====

Record 9
HoCu3 | GGA-PBE | optimized geometry

```
HoCu3
1.0
3.6190 0.0000 0.0000
0.0000 3.6198 0.0000
0.0000 0.0000 5.2885
Ho Cu
1 3
direct
0.0000 0.5000 0.3279
0.0000 0.0000 0.8841
0.5000 0.5000 0.8840
0.5000 0.0000 0.5707
```

As for the space group: No. 99. For the electronic total energy, the calculation gives -4.218 eV per atom. As for the formation energy: -0.002 eV per atom.

=====

Record 10
Ho7Cu3 | GGA-PBE | optimized geometry

```
Ho7Cu3
1.0
-2.1248 4.2854 -3.8689
-1.8093 -6.9202 -6.6716
-6.8889 2.4499 6.4972
Ho Cu
14 6
direct
0.9326 0.8722 0.7444
0.9326 0.8722 0.1278
0.6307 0.9233 0.4616
0.4326 0.1278 0.8722
0.1307 0.0767 0.5384
0.1221 0.6667 0.3333
0.1307 0.4616 0.9233
0.6307 0.5384 0.4616
0.1307 0.4616 0.5384
0.6307 0.5384 0.0767
0.9326 0.2556 0.1278
0.6221 0.3333 0.6667
0.4326 0.7444 0.8722
0.4326 0.1278 0.2556
0.8653 0.1901 0.8099
0.3653 0.3801 0.1901
0.3653 0.8099 0.1901
0.8653 0.6199 0.8099
0.8653 0.1901 0.3801
0.3653 0.8099 0.6199
```

As for the space group: No. 186. For the electronic total energy, the calculation gives -4.549 eV per atom. As for the formation energy: -0.116 eV per atom.

=====

Record 11
Ho3Cu2 | GGA-PBE | optimized geometry

```
Ho3Cu2
1.0
-1.9031 -1.7698 2.2771
0.2050 -2.8043 -2.0082
15.7502 -5.3163 9.0317
Cu Ho
4 6
direct
0.5000 0.5000 0.7739
0.5000 0.5000 0.4088
0.5000 0.5000 0.5912
0.5000 0.5000 0.2261
0.0000 0.0000 0.8646
0.0000 0.0000 0.1354
0.5000 0.5000 0.0000
0.0000 0.0000 0.6832
0.0000 0.0000 0.5000
0.0000 0.0000 0.3168
```

As for the space group: No. 123. For the energy above the most stable polymorph in this dataset, the calculation gives 0 meV per atom. For the electronic total energy, the calculation gives -4.587 eV per atom. As for the formation energy: -0.202 eV per atom.

=====

Record 12
HoCuI | GGA-PBE | optimized geometry

```
HoCuI
1.0
4.1270 -0.0171 -0.0231
-2.0470 3.5836 0.0231
-1.9626 -1.2452 11.8613
Cu I Ho
2 2 2
direct
0.6679 0.8339 0.5018
0.3321 0.1661 0.4982
0.5508 0.2794 0.8302
0.4492 0.7206 0.1698
0.1003 0.5526 0.6529
0.8997 0.4474 0.3471
```

As for the space group: No. 12. For the electronic total energy, the calculation gives -4.179 eV per atom. The calculation puts the uncorrected formation energy at -223 kJ/mol of formula units.